# 1
Computed, not measured: a relaxed MgSc2Si crystal at the PBE level of DFT.

Geometry as POSCAR:
```
MgSc2Si
1.0
4.4076 0.0000 0.0000
0.0000 4.4076 0.0000
0.0000 0.0000 4.0122
Mg Sc Si
1 2 1
direct
0.0000 0.0000 0.0000
0.0000 0.5000 0.5000
0.5000 0.0000 0.5000
0.5000 0.5000 0.0000
```

Values from the calculation:
Energy relative to the elements, uncorrected in eV per atom: -0.354

# 2
Computed, not measured: a relaxed MgScSi2 crystal at the PBE level of DFT.

Geometry as POSCAR:
```
MgScSi2
1.0
2.9953 0.0000 0.0000
0.0000 3.9060 0.0000
0.0000 0.0000 5.9394
Mg Sc Si
1 1 2
direct
0.0000 0.0000 0.0000
0.0000 0.0000 0.5000
0.5000 0.5000 0.2440
0.5000 0.5000 0.7560
```

Values from the calculation:
Energy relative to the elements, uncorrected in eV per atom: -0.247

# 3
Computed, not measured: a relaxed MgScSi3 crystal at the PBE level of DFT.

Geometry as POSCAR:
```
MgScSi3
1.0
4.9834 0.0000 0.0000
0.0000 4.9834 0.0000
0.0000 0.0000 4.9834
Mg Sc Si
1 1 3
direct
0.0000 0.0000 0.0000
0.5000 0.5000 0.5000
0.0000 0.5000 0.5000
0.5000 0.0000 0.5000
0.5000 0.5000 0.0000
```

Values from the calculation:
Energy relative to the lowest polymorph listed for this composition in meV/atom: 0
Energy relative to the elements, uncorrected in eV per atom: 0.739

# 4
Computed, not measured: a relaxed MgScSi2 crystal at the PBE level of DFT.

Geometry as POSCAR:
```
MgScSi2
1.0
-1.9370 1.9370 4.6155
1.9370 -1.9370 4.6155
1.9370 1.9370 -4.6155
Mg Sc Si
1 1 2
direct
0.0000 0.0000 0.0000
0.2500 0.7500 0.5000
0.5000 0.5000 0.0000
0.7500 0.2500 0.5000
```

Values from the calculation:
Energy relative to the elements, uncorrected in eV per atom: -0.308

# 5
Computed, not measured: a relaxed MgScSi crystal at the PBE level of DFT.

Geometry as POSCAR:
```
MgScSi
1.0
0.0000 3.1696 3.1696
3.1696 0.0000 3.1696
3.1696 3.1696 0.0000
Mg Sc Si
1 1 1
direct
0.0000 0.0000 0.0000
0.5000 0.5000 0.5000
0.2500 0.2500 0.2500
```

Values from the calculation:
Energy relative to the elements, uncorrected in eV per atom: -0.355

# 6
Computed, not measured: a relaxed MgScSi crystal at the PBE level of DFT.

Geometry as POSCAR:
```
MgScSi
1.0
-1.5535 1.5535 6.0880
1.5535 -1.5535 6.0880
1.5535 1.5535 -6.0880
Mg Sc Si
1 1 1
direct
0.0000 0.0000 0.0000
0.7035 0.7035 0.0000
0.3484 0.3484 0.0000
```

Values from the calculation:
Energy relative to the elements, uncorrected in eV per atom: -0.198

# 7
Computed, not measured: a relaxed MgSc3Si crystal at the PBE level of DFT.

Geometry as POSCAR:
```
MgSc3Si
1.0
5.0672 0.0000 0.0000
0.0000 5.0672 0.0000
0.0000 0.0000 5.0672
Mg Sc Si
1 3 1
direct
0.0000 0.0000 0.0000
0.0000 0.0000 0.5000
0.0000 0.5000 0.0000
0.5000 0.0000 0.0000
0.5000 0.5000 0.5000
```

Values from the calculation:
Energy relative to the lowest polymorph listed for this composition in meV/atom: 875
Energy relative to the elements, uncorrected in eV per atom: 0.828

# 8
Computed, not measured: a relaxed MgScSi2 crystal at the PBE level of DFT.

Geometry as POSCAR:
```
MgScSi2
1.0
2.9816 -3.9107 0.0000
2.9816 3.9107 0.0000
0.0000 0.0000 2.9997
Mg Sc Si
1 1 2
direct
0.0000 0.0000 0.0000
0.5000 0.5000 0.0000
0.0000 0.5000 0.5000
0.5000 0.0000 0.5000
```

Values from the calculation:
Energy relative to the elements, uncorrected in eV per atom: -0.247

# 9
Computed, not measured: a relaxed MgSc2Si crystal at the PBE level of DFT.

Geometry as POSCAR:
```
MgSc2Si
1.0
1.6353 0.9441 10.0318
-1.6353 0.9441 10.0318
0.0000 -1.8883 10.0318
Mg Sc Si
1 2 1
direct
0.0000 0.0000 0.0000
0.1024 0.1024 0.1024
0.8976 0.8976 0.8976
0.5000 0.5000 0.5000
```

Values from the calculation:
Energy relative to the elements, uncorrected in eV per atom: 0.035

# 10
Computed, not measured: a relaxed MgScSi2 crystal at the PBE level of DFT.

Geometry as POSCAR:
```
MgScSi2
1.0
1.5611 0.9013 8.9162
-1.5611 0.9013 8.9162
0.0000 -1.8026 8.9162
Mg Sc Si
1 1 2
direct
0.0000 0.0000 0.0000
0.2334 0.2334 0.2334
0.4837 0.4837 0.4837
0.7497 0.7497 0.7497
```

Values from the calculation:
Energy relative to the elements, uncorrected in eV per atom: 0.099

# 11
Computed, not measured: a relaxed MgScSiSn2 crystal at the PBE level of DFT.

Geometry as POSCAR:
```
MgScSiSn2
1.0
5.1526 0.0000 0.0000
0.0000 5.1526 0.0000
0.0000 0.0000 5.3429
Mg Sc Si Sn
1 1 1 2
direct
0.0000 0.0000 0.0000
0.0000 0.0000 0.5000
0.5000 0.5000 0.5000
0.0000 0.5000 0.0000
0.5000 0.0000 0.0000
```

Values from the calculation:
Energy relative to the elements, uncorrected in eV per atom: 0.802

# 12
Computed, not measured: a relaxed MgScTa2Si crystal at the PBE level of DFT.

Geometry as POSCAR:
```
MgScTa2Si
1.0
4.7434 0.0000 0.0000
0.0000 4.7434 0.0000
0.0000 0.0000 4.8849
Mg Sc Ta Si
1 1 2 1
direct
0.0000 0.0000 0.0000
0.5000 0.5000 0.0000
0.0000 0.5000 0.5000
0.5000 0.0000 0.5000
0.5000 0.5000 0.5000
```

Values from the calculation:
Energy relative to the elements, uncorrected in eV per atom: 0.448

Density? In order: 3.03; 3.00; 2.06; 3.01; 2.54; 2.75; 2.39; 2.98; 2.54; 2.77; 3.92; 6.94 g/cm3.